Record 1
The following is a PBE calculation of a geometry-optimized K5La2F12 structure, from Alexandria via LeMat-Bulk.

M_tot   1.28 μB/f.u.
Raw formation energy   -3.1809 eV/atom
Space group   No. 12

```
K5La2F12
1.0
-5.567 -3.311 2.306
2.980 -1.756 7.132
-1.612 5.082 5.865
K La F
5 2 12
direct
0.500 0.000 0.000
0.433 0.655 0.655
0.091 0.240 0.240
0.567 0.345 0.345
0.909 0.760 0.760
0.000 0.252 0.748
0.000 0.748 0.252
0.111 0.575 0.575
0.247 0.906 0.302
0.866 0.084 0.084
0.753 0.094 0.698
0.134 0.916 0.916
0.247 0.302 0.906
0.747 0.449 0.817
0.253 0.551 0.183
0.253 0.183 0.551
0.753 0.698 0.094
0.889 0.425 0.425
0.747 0.817 0.449
```


Record 2
The following is a PBE calculation of a geometry-optimized NdMgSc2 structure, from Alexandria via LeMat-Bulk.

M_tot   0.99 μB/f.u.
Space group   No. 225
Formation energy   125 meV/atom
Energy above the lowest structure with this stoichiometry   119 meV/atom

```
NdMgSc2
1.0
-0.030 4.419 -2.952
-4.433 2.904 -0.391
-0.274 4.760 2.346
Sc Nd Mg
2 1 1
direct
0.750 0.750 0.750
0.250 0.250 0.250
0.000 0.000 0.000
0.500 0.500 0.500
```


Record 3
The following is a PBE calculation of a geometry-optimized Sc2GeAs2 structure, from Alexandria via LeMat-Bulk.

M_tot   0.00 μB/f.u.
Space group   No. 127
Formation energy   -773 meV/atom
Energy above the lowest structure with this stoichiometry   0 meV/atom

```
Sc2GeAs2
1.0
7.380 0.000 0.000
0.000 7.380 0.000
0.000 0.000 3.661
Sc As Ge
4 4 2
direct
0.653 0.847 0.500
0.153 0.653 0.500
0.347 0.153 0.500
0.847 0.347 0.500
0.850 0.650 0.000
0.650 0.150 0.000
0.350 0.850 0.000
0.150 0.350 0.000
0.500 0.500 0.000
0.000 0.000 0.000
```


Record 4
The following is a PBE calculation of a geometry-optimized PaPRh2 structure, from Alexandria via LeMat-Bulk.

M_tot   0.00 μB/f.u.
Space group   No. 166
Formation energy   -835 meV/atom
Energy above the lowest structure with this stoichiometry   144 meV/atom

```
PaPRh2
1.0
4.042 0.000 0.000
2.021 3.501 0.000
2.021 1.167 4.900
Rh Pa P
2 1 1
direct
0.780 0.780 0.660
0.220 0.220 0.340
0.000 0.000 0.000
0.500 0.500 0.500
```


Record 5
The following is a PBE calculation of a geometry-optimized SrCo structure, from Alexandria via LeMat-Bulk.

M_tot   1.28 μB/f.u.
Space group   No. 225
Formation energy   904 meV/atom

```
SrCo
1.0
-2.892 1.809 2.739
-4.283 -0.270 -0.850
-2.564 -2.545 2.467
Sr Co
1 1
direct
0.500 0.500 0.500
0.000 0.000 0.000
```


Record 6
The following is a PBE calculation of a geometry-optimized TlRu3 structure, from Alexandria via LeMat-Bulk.

M_tot   2.42 μB/f.u.
Space group   No. 194
Formation energy   609 meV/atom
Energy above the lowest structure with this stoichiometry   161 meV/atom

```
TlRu3
1.0
-2.516 4.448 -2.504
-0.069 -5.100 -2.524
-3.916 -1.008 2.143
Tl Ru
2 6
direct
0.667 0.333 0.750
0.333 0.667 0.250
0.160 0.321 0.750
0.679 0.840 0.750
0.840 0.160 0.250
0.321 0.160 0.250
0.160 0.840 0.750
0.840 0.679 0.250
```


Record 7
The following is a PBE calculation of a geometry-optimized La2Pm3Sn structure, from Alexandria via LeMat-Bulk.

M_tot   0.00 μB/f.u.
Space group   No. 11
Formation energy   -241 meV/atom
Energy above the lowest structure with this stoichiometry   20 meV/atom

```
La2Pm3Sn
1.0
4.848 0.000 0.000
0.000 7.279 0.822
0.000 -1.203 10.852
Pm Sn La
6 2 4
direct
0.250 0.361 0.752
0.250 0.895 0.412
0.750 0.636 0.904
0.750 0.105 0.588
0.750 0.639 0.248
0.250 0.364 0.096
0.750 0.124 0.252
0.250 0.876 0.748
0.750 0.626 0.590
0.750 0.119 0.924
0.250 0.374 0.410
0.250 0.881 0.076
```


Record 8
The following is a PBE calculation of a geometry-optimized HgBi4Pb structure, from Alexandria via LeMat-Bulk.

M_tot   0.00 μB/f.u.
Space group   No. 12
Formation energy   36 meV/atom
Energy above the lowest structure with this stoichiometry   0 meV/atom

```
HgBi4Pb
1.0
-0.235 2.283 5.465
4.007 -3.620 -1.530
3.887 5.115 -1.970
Bi Pb Hg
4 1 1
direct
0.672 0.345 0.252
0.672 0.344 0.746
0.328 0.656 0.254
0.328 0.655 0.748
0.000 0.000 0.500
0.000 0.000 0.000
```


Record 9
The following is a PBE calculation of a geometry-optimized CaInI2Cl structure, from Alexandria via LeMat-Bulk.

M_tot   0.00 μB/f.u.
Raw formation energy   -1.3172 eV/atom
Space group   No. 11

```
CaInI2Cl
1.0
4.530 0.000 0.000
0.000 9.226 0.649
0.000 -3.255 9.351
Ca In I Cl
2 2 4 2
direct
0.750 0.181 0.179
0.250 0.819 0.821
0.250 0.698 0.324
0.750 0.302 0.676
0.750 0.820 0.050
0.250 0.180 0.950
0.750 0.868 0.617
0.250 0.132 0.383
0.250 0.525 0.725
0.750 0.475 0.275
```